# Rb2SmScO4

An optimized crystal structure of Rb2SmScO4 (GGA-PBE, the Alexandria database).

Computed properties:
- SG = No. 74
- raw formation energy (kJ per mole of atoms) = -240.0

```
Rb2SmScO4
1.0
7.195 0.017 -0.153
0.012 7.195 -0.153
-3.657 -3.659 5.253
Rb Sm Sc O
4 2 2 8
Direct
0.500 0.000 0.000
0.500 0.000 0.500
0.000 0.000 0.500
0.500 0.500 0.000
0.000 0.500 0.000
0.000 0.500 0.500
0.500 0.500 0.500
0.000 0.000 0.000
0.180 0.745 0.962
0.755 0.320 0.538
0.245 0.680 0.462
0.820 0.255 0.038
0.767 0.734 0.944
0.766 0.733 0.556
0.234 0.267 0.444
0.233 0.266 0.056
```